Record 1
Below is crystalline Be2ZnN at its relaxed geometry, with properties calculated at the PBE level.

a = 3.837 Å, b = 3.837 Å, c = 3.837 Å
α = 60.00°, β = 60.00°, γ = 60.00°
Sites, in units of the cell vectors:
Zn  0.500  0.500  0.500
N  0.000  0.000  0.000
Be  0.250  0.250  0.250
Be  0.750  0.750  0.750

Properties
SG   No. 225
Formation energy (no corrections)   1.018 eV per atom
Offset from the most stable computed form   1241 meV/atom
Magnetic moment   0.0 μB/cell

Record 2
Below is crystalline Be2ZnN at its relaxed geometry, with properties calculated at the PBE level.

a = 5.048 Å, b = 5.048 Å, c = 5.047 Å
α = 59.99°, β = 59.99°, γ = 90.00°
Sites, in units of the cell vectors:
N  0.250  0.750  0.500
Zn  0.750  0.250  0.500
Be  0.280  0.625  0.250
Be  0.875  0.720  0.750
Be  0.375  0.530  0.750
N  0.500  0.500  0.000
Be  0.470  0.125  0.250
Zn  0.000  0.000  0.000

Properties
SG   No. 122
Formation energy (no corrections)   -0.223 eV per atom
Offset from the most stable computed form   0 meV/atom
Magnetic moment   0.0 μB/cell

Record 3
Below is crystalline BeZn3N at its relaxed geometry, with properties calculated at the PBE level.

a = 4.106 Å, b = 4.106 Å, c = 4.106 Å
α = 90.00°, β = 90.00°, γ = 90.00°
Sites, in units of the cell vectors:
Zn  0.000  0.500  0.000
Zn  0.000  0.000  0.500
Be  0.500  0.500  0.500
Zn  0.500  0.000  0.000
N  0.000  0.000  0.000

Properties
SG   No. 221
Formation energy (no corrections)   0.639 eV per atom
Offset from the most stable computed form   0 meV/atom
Magnetic moment   0.0 μB/cell

Record 4
Below is crystalline Be3ZnN at its relaxed geometry, with properties calculated at the PBE level.

a = 3.567 Å, b = 3.567 Å, c = 3.567 Å
α = 90.00°, β = 90.00°, γ = 90.00°
Sites, in units of the cell vectors:
N  0.000  0.000  0.000
Be  0.000  0.000  0.500
Be  0.000  0.500  0.000
Be  0.500  0.000  0.000
Zn  0.500  0.500  0.500

Properties
SG   No. 221
Formation energy (no corrections)   0.007 eV per atom
Magnetic moment   0.0 μB/cell